## InAg5Cl12 (GGA-PBE)

Data for a relaxed InAg5Cl12 crystal.

CIF file:
```
data_InAg5Cl12
_cell_length_a 6.5295
_cell_length_b 12.0687
_cell_length_c 12.6843
_cell_angle_alpha 90.00
_cell_angle_beta 100.97
_cell_angle_gamma 90.00
_symmetry_space_group_name_H-M 'C 1 2/m 1'
_symmetry_Int_Tables_number 12
loop_
_symmetry_equiv_pos_as_xyz
'x,y,z'
'-x,-y,-z'
'-x,y,-z'
'x,-y,z'
'x+1/2,y+1/2,z'
'-x+1/2,-y+1/2,-z'
'-x+1/2,y+1/2,-z'
'x+1/2,-y+1/2,z'
loop_
_atom_site_label
_atom_site_fract_x
_atom_site_fract_y
_atom_site_fract_z
In1 0.0000 0.0000 0.0000
Ag1 0.0000 0.1666 0.5000
Ag2 0.0000 0.3387 0.0000
Ag3 0.0000 0.5000 0.5000
Cl1 0.1535 0.0000 0.3866
Cl2 0.1532 0.3332 0.3865
Cl3 0.2168 0.1540 0.1115
Cl4 0.2411 0.5000 0.1229
```

Values from the calculation:
Its total magnetization is 0.20 μB per atom. The total energy is -2.66 eV per atom. For the formation energy from raw total energies, the calculation gives -0.48 eV/atom.